Here is crystalline Li2B2Ir5W at its relaxed geometry from Alexandria via LeMat-Bulk. Energies are from PBE.

The structure in extended XYZ format:
```
20
Lattice="-1.456 1.985 1.524 -6.352 -6.683 2.633 5.323 -2.019 7.716" Properties=species:S:1:pos:R:3 pbc="T T T"
Li -3.357 -4.868 3.132
Li 2.328 -3.834 7.217
Li 0.614 -1.828 2.966
Li -1.643 -6.875 7.383
B 2.538 -2.055 5.102
B -3.567 -6.647 5.248
B 0.744 -5.921 8.422
B -1.773 -2.781 1.927
Ir -1.726 -0.612 1.898
Ir -0.759 -6.105 9.976
Ir 2.972 -1.072 6.987
Ir -3.015 -4.669 5.950
Ir -5.458 -5.645 4.887
Ir 0.530 -2.048 5.924
Ir -0.544 -4.285 7.811
Ir -1.942 -2.432 4.063
Ir -3.904 -2.349 2.079
Ir 1.933 -0.017 4.620
W 0.000 0.000 0.000
W -0.515 -4.351 5.175
```

DFT total energy, eV for the cell shown: -154.5
DOS at the Fermi energy, states/eV/atom: 0.404
Crystal system: tetragonal